Here is crystalline LiAlCrW at its relaxed geometry from Alexandria via LeMat-Bulk. Energies are from PBE. Values from VASP.

Quantum ESPRESSO input file:
```
&SYSTEM
  ibrav = 0, nat = 4, ntyp = 4
/
ATOMIC_SPECIES
Cr 52.00 Cr.upf
Al 26.98 Al.upf
W 183.84 W.upf
Li 6.94 Li.upf
ATOMIC_POSITIONS angstrom
Cr 0.7934 -2.3175 -0.8604
Al 1.5869 -4.6350 -1.7208
W 0.0000 0.0000 0.0000
Li 2.3803 -6.9525 -2.5812
CELL_PARAMETERS angstrom
-1.1814 -3.5275 -2.0337
2.7373 -1.9939 -2.5508
1.6178 -3.7485 1.1429
```

## Properties
magnetic moment = 0.000 μB per formula unit
VASP energy = -27.641 eV/cell

Here is crystalline YScAl2 at its relaxed geometry from Alexandria via LeMat-Bulk. Energies are from PBE. Values from VASP.

Quantum ESPRESSO input file:
```
&SYSTEM
  ibrav = 0, nat = 8, ntyp = 3
/
ATOMIC_SPECIES
Y 88.91 Y.upf
Sc 44.96 Sc.upf
Al 26.98 Al.upf
ATOMIC_POSITIONS angstrom
Y 0.0000 0.0000 0.0000
Y -4.4488 6.6800 3.8140
Sc -3.4475 4.3013 0.4904
Sc -7.5706 4.6444 -0.2772
Al -2.3007 4.8250 2.9807
Al -5.4327 2.9878 -0.9671
Al -6.5318 5.3027 2.2284
Al -9.7736 9.5331 2.8316
CELL_PARAMETERS angstrom
-0.3257 6.3369 4.5816
-6.5692 2.2657 -3.6008
-5.1245 2.7217 2.5560
```

## Properties
magnetic moment = 0.000 μB per formula unit
VASP energy = -40.194 eV/cell

Here is crystalline TaMn2Os at its relaxed geometry from Alexandria via LeMat-Bulk. Energies are from PBE. Values from VASP.

Quantum ESPRESSO input file:
```
&SYSTEM
  ibrav = 0, nat = 4, ntyp = 3
/
ATOMIC_SPECIES
Mn 54.94 Mn.upf
Os 190.23 Os.upf
Ta 180.95 Ta.upf
ATOMIC_POSITIONS angstrom
Mn 0.0000 0.0000 0.0805
Mn 0.0000 0.0000 2.7119
Os 1.3916 1.7968 1.3962
Ta 1.3916 1.7968 4.1887
CELL_PARAMETERS angstrom
2.7831 0.0000 0.0000
0.0000 3.5936 0.0000
0.0000 0.0000 5.5849
```

## Properties
magnetic moment = 3.162 μB per formula unit
VASP energy = -41.188 eV/cell

Here is crystalline ZrTl2Rh at its relaxed geometry from Alexandria via LeMat-Bulk. Energies are from PBE. Values from VASP.

Quantum ESPRESSO input file:
```
&SYSTEM
  ibrav = 0, nat = 4, ntyp = 3
/
ATOMIC_SPECIES
Rh 102.91 Rh.upf
Tl 204.38 Tl.upf
Zr 91.22 Zr.upf
ATOMIC_POSITIONS angstrom
Rh -3.9363 -3.9209 -2.3441
Tl 0.0000 0.0000 0.0000
Tl -5.9045 -5.8813 -3.5162
Zr -1.9682 -1.9604 -1.1721
CELL_PARAMETERS angstrom
-4.5315 -0.5261 -1.8522
-0.8047 -3.1793 -3.6723
-2.5364 -4.1363 0.8362
```

## Properties
magnetic moment = 0.000 μB per formula unit
VASP energy = -20.421 eV/cell

Here is crystalline SmSc2Zn at its relaxed geometry from Alexandria via LeMat-Bulk. Energies are from PBE. Values from VASP.

Quantum ESPRESSO input file:
```
&SYSTEM
  ibrav = 0, nat = 4, ntyp = 3
/
ATOMIC_SPECIES
Sc 44.96 Sc.upf
Zn 65.41 Zn.upf
Sm 150.36 Sm.upf
ATOMIC_POSITIONS angstrom
Sc 0.0000 0.0000 6.7288
Sc 0.0000 0.0000 1.6664
Zn 1.6847 1.6847 0.0000
Sm 1.6847 1.6847 4.1976
CELL_PARAMETERS angstrom
3.3694 0.0000 0.0000
0.0000 3.3694 0.0000
0.0000 0.0000 8.3952
```

## Properties
magnetic moment = 0.000 μB per formula unit
VASP energy = -19.262 eV/cell

Here is crystalline Tc2IrW at its relaxed geometry from Alexandria via LeMat-Bulk. Energies are from PBE. Values from VASP.

Quantum ESPRESSO input file:
```
&SYSTEM
  ibrav = 0, nat = 4, ntyp = 3
/
ATOMIC_SPECIES
Ir 192.22 Ir.upf
Tc 98.00 Tc.upf
W 183.84 W.upf
ATOMIC_POSITIONS angstrom
Ir 4.3744 -1.1353 4.2364
Tc 0.4354 -2.0844 1.7613
Tc 1.2133 0.4156 2.4116
W 3.1056 -1.5623 1.8240
CELL_PARAMETERS angstrom
-0.5440 2.4219 3.0007
0.3722 -2.0964 1.7595
5.8282 -1.0316 1.8892
```

## Properties
magnetic moment = 0.000 μB per formula unit
VASP energy = -42.823 eV/cell

Here is crystalline FeSiRh at its relaxed geometry from Alexandria via LeMat-Bulk. Energies are from PBE. Values from VASP.

Quantum ESPRESSO input file:
```
&SYSTEM
  ibrav = 0, nat = 3, ntyp = 3
/
ATOMIC_SPECIES
Fe 55.84 Fe.upf
Rh 102.91 Rh.upf
Si 28.09 Si.upf
ATOMIC_POSITIONS angstrom
Fe 0.0000 0.0000 0.0000
Rh -3.4718 -1.3871 -2.9938
Si -5.2077 -2.0806 -4.4907
CELL_PARAMETERS angstrom
-3.8152 0.2778 -0.8127
-1.2100 0.0290 -3.7187
-1.9185 -3.0810 -1.4562
```

## Properties
formation energy (no corrections) = -0.32 eV per atom
magnetic moment = 2.080 μB per formula unit
VASP energy = -22.202 eV/cell

Here is crystalline SrNiTe at its relaxed geometry from Alexandria via LeMat-Bulk. Energies are from PBE. Values from VASP.

Quantum ESPRESSO input file:
```
&SYSTEM
  ibrav = 0, nat = 6, ntyp = 3
/
ATOMIC_SPECIES
Sr 87.62 Sr.upf
Te 127.60 Te.upf
Ni 58.69 Ni.upf
ATOMIC_POSITIONS angstrom
Sr -3.2777 3.4202 0.4818
Sr -2.7987 -0.9737 1.9757
Te -3.1861 1.9211 3.6622
Te -2.4619 7.8908 0.9659
Ni -1.1734 5.8233 1.1657
Ni -3.4980 5.9848 2.2171
CELL_PARAMETERS angstrom
-2.8332 8.1720 -1.8511
-3.3067 -1.8333 2.3081
1.8289 1.4949 3.8064
```

## Properties
formation energy (no corrections) = -0.74 eV per atom
magnetic moment = 0.000 μB per formula unit
VASP energy = -25.667 eV/cell

Here is crystalline Ti6Bi3S at its relaxed geometry from Alexandria via LeMat-Bulk. Energies are from PBE. Values from VASP.

Quantum ESPRESSO input file:
```
&SYSTEM
  ibrav = 0, nat = 20, ntyp = 3
/
ATOMIC_SPECIES
Ti 47.87 Ti.upf
Bi 208.98 Bi.upf
S 32.06 S.upf
ATOMIC_POSITIONS angstrom
Ti 1.1586 4.9686 4.6246
Ti 4.3085 3.3993 5.8753
Ti 1.1131 1.6213 7.6397
Ti 4.2630 7.0853 3.2852
Ti 1.6167 -1.5016 7.8888
Ti 4.0831 0.6022 6.2122
Ti 0.9332 5.9212 1.9733
Ti 4.7666 8.0250 0.2967
Ti 1.1131 -0.5619 4.9003
Ti 4.2630 4.9021 0.5458
Ti 1.1586 3.1241 2.3102
Ti 4.3085 1.5548 3.5609
Bi 3.4059 6.1600 5.8241
Bi 0.2560 4.3026 7.3043
Bi 1.9246 2.1769 4.9573
Bi 5.0745 4.3465 3.2282
Bi 0.2560 0.3634 2.3614
Bi 3.4059 2.2208 0.8812
S 6.1273 -0.3431 6.9656
S 2.9774 6.8665 1.2199
CELL_PARAMETERS angstrom
6.2998 0.0000 0.0000
0.0000 8.3180 0.0631
0.0000 -1.7947 8.1224
```

## Properties
formation energy (no corrections) = -0.19 eV per atom
magnetic moment = 0.000 μB per formula unit
VASP energy = -130.017 eV/cell

Here is crystalline Al4FeBi2 at its relaxed geometry from Alexandria via LeMat-Bulk. Energies are from PBE. Values from VASP.

Quantum ESPRESSO input file:
```
&SYSTEM
  ibrav = 0, nat = 7, ntyp = 3
/
ATOMIC_SPECIES
Al 26.98 Al.upf
Bi 208.98 Bi.upf
Fe 55.84 Fe.upf
ATOMIC_POSITIONS angstrom
Al 4.5292 4.5292 2.1898
Al 2.2646 2.2646 6.5484
Al 0.0000 2.2646 0.0000
Al 2.2646 0.0000 0.0000
Bi 4.5292 4.5292 4.9326
Bi 2.2646 2.2646 3.8056
Fe 0.0000 0.0000 0.0000
CELL_PARAMETERS angstrom
4.5292 0.0000 0.0000
0.0000 4.5292 0.0000
2.2646 2.2646 8.7382
```

## Properties
magnetic moment = 0.000 μB per formula unit
VASP energy = -30.322 eV/cell

Here is crystalline Li4NdHg2 at its relaxed geometry from Alexandria via LeMat-Bulk. Energies are from PBE. Values from VASP.

Quantum ESPRESSO input file:
```
&SYSTEM
  ibrav = 0, nat = 14, ntyp = 3
/
ATOMIC_SPECIES
Li 6.94 Li.upf
Nd 144.24 Nd.upf
Hg 200.59 Hg.upf
ATOMIC_POSITIONS angstrom
Li 0.0000 0.7702 2.8394
Li 0.0000 7.3659 5.2967
Li 2.2368 1.2286 4.8383
Li 2.2368 6.9075 3.2978
Li 2.2368 3.2978 6.9075
Li 2.2368 4.8383 1.2286
Li 0.0000 2.8394 0.7702
Li 0.0000 5.2967 7.3659
Nd 2.2368 0.0000 0.0000
Nd 0.0000 4.0681 4.0681
Hg 0.0000 1.7346 6.4015
Hg 0.0000 6.4015 1.7346
Hg 2.2368 5.8026 5.8026
Hg 2.2368 2.3335 2.3335
CELL_PARAMETERS angstrom
4.4736 0.0000 0.0000
0.0000 8.1361 0.0000
0.0000 0.0000 8.1361
```

## Properties
magnetic moment = 0.000 μB per formula unit
VASP energy = -30.082 eV/cell